VASP calculation (PBE) on LaTcAs2F after structural relaxation.

Lattice parameters (Å, degrees): 4.9025 4.9025 4.2502 90.00 90.00 90.00
Element x y z (fractional)
La 0.0000 0.0000 0.0000
Tc 0.5000 0.5000 0.5000
As 0.0000 0.5000 0.5000
As 0.5000 0.0000 0.5000
F 0.5000 0.5000 0.0000

## Properties
E_form (uncorrected) = -885 meV/atom
space-group type = P4/mmm, No. 123
total DFT energy (no corrections) = -6.1777 eV/atom

---

VASP calculation (PBE) on Tm2ZnSe after structural relaxation.

Lattice parameters (Å, degrees): 7.9948 7.9948 7.9948 27.41 27.41 27.41
Element x y z (fractional)
Tm 0.0000 0.0000 0.0000
Tm 0.1660 0.1660 0.1660
Zn 0.5824 0.5824 0.5824
Se 0.7508 0.7508 0.7508

## Properties
E_form (uncorrected) = -888 meV/atom
space-group type = R3m, No. 160
total DFT energy (no corrections) = -4.3139 eV/atom

---

VASP calculation (PBE) on PrDyEr2S6 after structural relaxation.

Lattice parameters (Å, degrees): 7.3612 7.3612 7.3612 56.49 56.49 56.49
Element x y z (fractional)
Pr 0.0000 0.0000 0.0000
Dy 0.4929 0.4929 0.4929
Er 0.2907 0.2907 0.2907
Er 0.7947 0.7947 0.7947
S 0.0839 0.6699 0.4177
S 0.1901 0.5817 0.8978
S 0.4177 0.0839 0.6699
S 0.5817 0.8978 0.1901
S 0.6699 0.4177 0.0839
S 0.8978 0.1901 0.5817

## Properties
E_form (uncorrected) = -2045 meV/atom
space-group type = R3, No. 146
total DFT energy (no corrections) = -6.3726 eV/atom

---

VASP calculation (PBE) on InSiSn3 after structural relaxation.

Lattice parameters (Å, degrees): 5.5543 5.5543 5.5543 90.00 90.00 90.00
Element x y z (fractional)
In 0.0000 0.0000 0.0000
Si 0.5000 0.5000 0.5000
Sn 0.0000 0.0000 0.5000
Sn 0.0000 0.5000 0.0000
Sn 0.5000 0.0000 0.0000

## Properties
E_form (uncorrected) = 974 meV/atom
space-group type = Pm-3m, No. 221
total DFT energy (no corrections) = -3.0596 eV/atom